Entry 1:
VASP calculation (PBE) on crystalline RbSiAu3 at its relaxed geometry.

The structure in POSCAR format:
```
RbSiAu3
1.0
8.3030 0.0000 0.0000
0.0000 7.1076 0.0000
-2.4607 0.0000 8.7102
Rb Si Au
4 4 12
direct
0.1281 0.1078 0.1965
0.1281 0.3922 0.6965
0.8719 0.6078 0.3035
0.8719 0.8922 0.8035
0.4193 0.7454 0.5990
0.4193 0.7546 0.0990
0.5807 0.2454 0.9010
0.5807 0.2546 0.4010
0.1467 0.5889 0.0655
0.1467 0.9111 0.5655
0.3636 0.5348 0.3706
0.3636 0.9652 0.8706
0.4950 0.1004 0.6328
0.4950 0.3996 0.1328
0.5050 0.6004 0.8672
0.5050 0.8996 0.3672
0.6364 0.0348 0.1294
0.6364 0.4652 0.6294
0.8533 0.0889 0.4345
0.8533 0.4111 0.9345
```

Summary:
Electronic total energy ... -17.1 eV/f.u.
Polymorph energy (0 for the lowest one) ... 108 meV per atom
Space-group type ... P2_1/c, No. 14

=====

Entry 2:
VASP calculation (PBE) on crystalline LiTaTe2 at its relaxed geometry.

The structure in POSCAR format:
```
LiTaTe2
1.0
7.0866 0.0000 0.0000
0.0000 7.0866 0.0000
0.0000 0.0000 7.0866
Li Ta Te
4 4 8
direct
0.0000 0.0000 0.0000
0.0000 0.5000 0.5000
0.5000 0.0000 0.5000
0.5000 0.5000 0.0000
0.2500 0.2500 0.7500
0.2500 0.7500 0.2500
0.7500 0.2500 0.2500
0.7500 0.7500 0.7500
0.0000 0.0000 0.5000
0.0000 0.5000 0.0000
0.2500 0.2500 0.2500
0.2500 0.7500 0.7500
0.5000 0.0000 0.0000
0.5000 0.5000 0.5000
0.7500 0.2500 0.7500
0.7500 0.7500 0.2500
```

Summary:
Electronic total energy ... -17.7 eV/f.u.
Space-group type ... F-43m, No. 216

=====

Entry 3:
VASP calculation (PBE) on crystalline BaTi2As2 at its relaxed geometry.

The structure in POSCAR format:
```
BaTi2As2
1.0
4.1670 0.0000 0.0000
0.0000 4.1670 0.0000
0.0000 0.0000 13.6947
Ba Ti As
2 4 4
direct
0.0000 0.0000 0.0000
0.5000 0.5000 0.5000
0.0000 0.5000 0.2500
0.0000 0.5000 0.7500
0.5000 0.0000 0.2500
0.5000 0.0000 0.7500
0.0000 0.0000 0.3625
0.0000 0.0000 0.6375
0.5000 0.5000 0.1375
0.5000 0.5000 0.8625
```

Summary:
ΔH_f (0 K) ... -908 meV per atom
Electronic total energy ... -31.6 eV/f.u.
Polymorph energy (0 for the lowest one) ... 0 meV per atom
Space-group type ... I4/mmm, No. 139

=====

Entry 4:
VASP calculation (PBE) on crystalline SmTmBeCd at its relaxed geometry.

The structure in POSCAR format:
```
SmTmBeCd
1.0
7.2339 0.0000 0.0000
0.0000 7.2339 0.0000
0.0000 0.0000 7.2339
Sm Tm Be Cd
4 4 4 4
direct
0.0000 0.0000 0.0000
0.0000 0.5000 0.5000
0.5000 0.0000 0.5000
0.5000 0.5000 0.0000
0.0000 0.0000 0.5000
0.0000 0.5000 0.0000
0.5000 0.0000 0.0000
0.5000 0.5000 0.5000
0.2500 0.2500 0.7500
0.2500 0.7500 0.2500
0.7500 0.2500 0.2500
0.7500 0.7500 0.7500
0.2500 0.2500 0.2500
0.2500 0.7500 0.7500
0.7500 0.2500 0.7500
0.7500 0.7500 0.2500
```

Summary:
ΔH_f (0 K) ... -23 meV per atom
Electronic total energy ... -13.9 eV/f.u.
Space-group type ... F-43m, No. 216

=====

Entry 5:
VASP calculation (PBE) on crystalline BeCdPt3 at its relaxed geometry.

The structure in POSCAR format:
```
BeCdPt3
1.0
7.6491 0.0000 0.0000
0.0000 2.8713 0.0000
0.0000 0.0000 6.7983
Be Cd Pt
2 2 6
direct
0.0000 0.0000 0.0000
0.5000 0.0000 0.0000
0.2500 0.0000 0.4197
0.7500 0.0000 0.5803
0.0592 0.5000 0.7136
0.2500 0.5000 0.0539
0.4408 0.5000 0.7136
0.5592 0.5000 0.2864
0.7500 0.5000 0.9461
0.9408 0.5000 0.2864
```

Summary:
ΔH_f (0 K) ... -438 meV per atom
Electronic total energy ... -25.0 eV/f.u.
Polymorph energy (0 for the lowest one) ... 0 meV per atom
Space-group type ... Pmma, No. 51

=====

Entry 6:
VASP calculation (PBE) on crystalline Sm3Sn3Ru at its relaxed geometry.

The structure in POSCAR format:
```
Sm3Sn3Ru
1.0
5.6891 -2.2519 0.0000
5.6891 2.2519 0.0000
-4.8800 0.0000 14.4596
Sm Sn Ru
6 6 2
direct
0.0192 0.0192 0.3816
0.1013 0.1013 0.9214
0.2376 0.2376 0.2424
0.7624 0.7624 0.7576
0.8987 0.8987 0.0786
0.9808 0.9808 0.6184
0.3491 0.3491 0.4653
0.3777 0.3777 0.9237
0.4755 0.4755 0.7651
0.5245 0.5245 0.2349
0.6223 0.6223 0.0763
0.6509 0.6509 0.5347
0.2579 0.2579 0.6171
0.7421 0.7421 0.3829
```

Summary:
ΔH_f (0 K) ... -650 meV per atom
Electronic total energy ... -40.0 eV/f.u.
Space-group type ... C2/m, No. 12

=====

Entry 7:
VASP calculation (PBE) on crystalline Tl5GaHg2 at its relaxed geometry.

The structure in POSCAR format:
```
Tl5GaHg2
1.0
7.7376 0.0000 0.0000
0.0000 15.4830 0.0000
0.0000 0.0000 3.7794
Tl Ga Hg
10 2 4
direct
0.0000 0.0000 0.0000
0.0112 0.2343 0.0000
0.2237 0.3802 0.5000
0.2763 0.8802 0.5000
0.4888 0.7343 0.0000
0.5000 0.5000 0.0000
0.5112 0.2657 0.0000
0.7237 0.1198 0.5000
0.7763 0.6198 0.5000
0.9888 0.7657 0.0000
0.0000 0.5000 0.0000
0.5000 0.0000 0.0000
0.2177 0.6163 0.5000
0.2823 0.1163 0.5000
0.7177 0.8837 0.5000
0.7823 0.3837 0.5000
```

Summary:
ΔH_f (0 K) ... 27 meV per atom
Electronic total energy ... -15.2 eV/f.u.
Space-group type ... Pbam, No. 55

=====

Entry 8:
VASP calculation (PBE) on crystalline YTe2Se at its relaxed geometry.

The structure in POSCAR format:
```
YTe2Se
1.0
3.8620 0.0000 0.0000
0.0000 3.8620 0.0000
0.0000 0.0000 7.3665
Y Te Se
1 2 1
direct
0.0000 0.0000 0.0000
0.0000 0.0000 0.4494
0.5000 0.5000 0.7529
0.5000 0.5000 0.1405
```

Summary:
Electronic total energy ... -19.3 eV/f.u.
Space-group type ... P4mm, No. 99

=====

Entry 9:
VASP calculation (PBE) on crystalline Ba2Tl5Cd3 at its relaxed geometry.

The structure in POSCAR format:
```
Ba2Tl5Cd3
1.0
-6.1967 7.2217 3.6107
6.1967 -7.2217 3.6107
6.1967 7.2217 -3.6107
Ba Tl Cd
4 10 6
direct
0.1279 0.2479 0.3758
0.3721 0.7479 0.1200
0.6279 0.2521 0.8800
0.8721 0.7521 0.6242
0.0048 0.7500 0.2548
0.1147 0.6400 0.7547
0.2500 0.2500 0.0000
0.3853 0.1400 0.5252
0.4952 0.7500 0.7452
0.5048 0.2500 0.2548
0.6147 0.8600 0.4748
0.7500 0.7500 0.0000
0.8853 0.3600 0.2453
0.9952 0.2500 0.7452
0.1281 0.8721 0.0002
0.2500 0.7500 0.5000
0.3719 0.3721 0.7440
0.6281 0.6279 0.2560
0.7500 0.2500 0.5000
0.8719 0.1279 0.9998
```

Summary:
ΔH_f (0 K) ... -253 meV per atom
Electronic total energy ... -21.0 eV/f.u.
Space-group type ... Ibam, No. 72

=====

Entry 10:
VASP calculation (PBE) on crystalline LaGa4Ni2Pd at its relaxed geometry.

The structure in POSCAR format:
```
LaGa4Ni2Pd
1.0
2.0912 1.2073 9.1109
-2.0912 1.2073 9.1109
0.0000 -2.4147 9.1109
La Ga Ni Pd
1 4 2 1
direct
0.0000 0.0000 0.0000
0.1275 0.1275 0.1275
0.4044 0.4044 0.4044
0.5956 0.5956 0.5956
0.8725 0.8725 0.8725
0.2275 0.2275 0.2275
0.7725 0.7725 0.7725
0.5000 0.5000 0.5000
```

Summary:
ΔH_f (0 K) ... -512 meV per atom
Electronic total energy ... -37.9 eV/f.u.
Space-group type ... R-3m, No. 166

=====

Entry 11:
VASP calculation (PBE) on crystalline AcDy2Tm at its relaxed geometry.

The structure in POSCAR format:
```
AcDy2Tm
1.0
3.7477 0.0000 0.0000
0.0000 11.6152 0.0000
0.0000 0.0000 6.3073
Ac Dy Tm
2 4 2
direct
0.0000 0.0000 0.0000
0.5000 0.5000 0.5000
0.0000 0.2433 0.6477
0.0000 0.7567 0.6477
0.5000 0.2567 0.1477
0.5000 0.7433 0.1477
0.0000 0.5000 0.9919
0.5000 0.0000 0.4919
```

Summary:
ΔH_f (0 K) ... 52 meV per atom
Electronic total energy ... -17.6 eV/f.u.
Polymorph energy (0 for the lowest one) ... 0 meV per atom
Space-group type ... Imm2, No. 44

=====

Entry 12:
VASP calculation (PBE) on crystalline Zr2MnW at its relaxed geometry.

The structure in POSCAR format:
```
Zr2MnW
1.0
3.3363 0.0000 0.0000
0.0000 3.3363 0.0000
0.0000 0.0000 6.6036
Zr Mn W
2 1 1
direct
0.0000 0.0000 0.2482
0.0000 0.0000 0.7518
0.5000 0.5000 0.0000
0.5000 0.5000 0.5000
```

Summary:
ΔH_f (0 K) ... 117 meV per atom
Electronic total energy ... -38.8 eV/f.u.
Polymorph energy (0 for the lowest one) ... 71 meV per atom
Space-group type ... P4/mmm, No. 123